No. 1
Hf3ScC4: relaxed, PBE.

## Properties
formation enthalpy at 0 K: -75.0 kJ per mole of atoms
volume: 202 Å³ per cell
space group: P2/c, No. 13
total moment: 0.000 μB per atom

Cell and atoms, written as POSCAR:
```
Hf3ScC4
1.0
5.705 0.046 0.000
-1.956 5.360 0.000
0.000 0.000 6.582
Sc C Hf
2 8 6
Direct
0.750 0.000 0.876
0.250 0.000 0.124
0.503 0.251 0.378
0.501 0.745 0.128
0.001 0.745 0.872
0.997 0.749 0.378
0.497 0.749 0.622
0.003 0.251 0.622
0.499 0.255 0.872
0.999 0.255 0.128
0.750 0.000 0.374
0.250 0.500 0.374
0.750 0.500 0.626
0.250 0.500 0.876
0.250 0.000 0.626
0.750 0.500 0.124
```


No. 2
BaLaP2O: relaxed, PBE.

## Properties
volume: 148 Å³ per cell
relative energy among the computed polymorphs: 0 meV per atom
space group: P4/mmm, No. 123
formation energy without anion corrections: -0.9252 eV/atom
total moment: 0.406 μB per atom

Cell and atoms, written as POSCAR:
```
BaLaP2O
1.0
5.788 0.000 0.000
0.000 5.788 0.000
0.000 0.000 4.419
Ba P La O
1 2 1 1
Direct
0.500 0.500 0.500
0.000 0.500 0.000
0.500 0.000 0.000
0.000 0.000 0.000
0.000 0.000 0.500
```


No. 3
Nd2LuHg: relaxed, PBE.

## Properties
formation enthalpy at 0 K: -19.4 kJ per mole of atoms
volume: 122 Å³ per cell
relative energy among the computed polymorphs: 0 meV per atom
space group: P4/mmm, No. 123
total moment: 0.000 μB per atom

Cell and atoms, written as POSCAR:
```
Nd2LuHg
1.0
-1.919 -3.161 0.301
2.370 -1.192 2.594
-5.042 3.660 6.288
Lu Nd Hg
1 2 1
Direct
0.500 0.500 0.500
0.000 0.000 0.229
0.000 0.000 0.771
0.500 0.500 0.000
```


No. 4
Ti4Mn2AlGa: relaxed, PBE.

## Properties
formation enthalpy at 0 K: 10.3 kJ per mole of atoms
volume: 135 Å³ per cell
space group: P4/mmm, No. 123
total moment: 0.000 μB per atom

Cell and atoms, written as POSCAR:
```
Ti4Mn2AlGa
1.0
-3.493 -1.888 -0.866
1.077 -3.095 2.405
-3.561 3.683 6.334
Ti Mn Al Ga
4 2 1 1
Direct
0.500 0.000 0.218
0.500 0.000 0.782
0.000 0.500 0.218
0.000 0.500 0.782
0.500 0.500 0.630
0.500 0.500 0.370
0.000 0.000 0.500
0.000 0.000 0.000
```


No. 5
CaZnCu2: relaxed, PBE.

## Properties
formation enthalpy at 0 K: -2.4 kJ per mole of atoms
volume: 69 Å³ per cell
space group: P2/m, No. 10
total moment: 0.000 μB per atom

Cell and atoms, written as POSCAR:
```
CaZnCu2
1.0
3.554 0.000 0.000
0.000 2.975 0.394
0.000 2.051 6.806
Cu Ca Zn
2 1 1
Direct
0.000 0.557 0.443
0.000 0.943 0.057
0.500 0.750 0.750
0.500 0.250 0.250
```


No. 6
CsPbIN2: relaxed, PBE.

## Properties
volume: 168 Å³ per cell
relative energy among the computed polymorphs: 856 meV per atom
space group: P4/mmm, No. 123
formation energy without anion corrections: 1.8250 eV/atom
total moment: 0.460 μB per atom

Cell and atoms, written as POSCAR:
```
CsPbIN2
1.0
-0.165 1.345 4.701
-4.879 0.261 -0.246
-0.456 -6.731 1.910
Pb N Cs I
1 2 1 1
Direct
0.500 0.500 0.500
0.500 0.000 0.000
0.000 0.500 0.000
0.000 0.000 0.000
0.000 0.000 0.500
```


No. 7
Y2Fe14B: relaxed, PBE.

## Properties
formation enthalpy at 0 K: -10.6 kJ per mole of atoms
volume: 904 Å³ per cell
space group: P4_2/mnm, No. 136
total moment: 1.822 μB per atom

Cell and atoms, written as POSCAR:
```
Y2Fe14B
1.0
8.711 0.000 0.000
0.000 8.711 0.000
0.000 0.000 11.911
Fe B Y
56 4 8
Direct
0.037 0.641 0.825
0.500 0.000 0.500
0.000 0.000 0.615
0.275 0.934 0.627
0.097 0.903 0.201
0.463 0.141 0.675
0.775 0.566 0.127
0.183 0.183 0.746
0.097 0.903 0.799
0.275 0.934 0.373
0.225 0.434 0.127
0.359 0.963 0.825
0.000 0.500 0.500
0.597 0.597 0.701
0.934 0.275 0.373
0.566 0.775 0.127
0.683 0.317 0.246
0.641 0.037 0.175
0.141 0.463 0.675
0.000 0.500 0.000
0.859 0.537 0.325
0.963 0.359 0.825
0.683 0.317 0.754
0.037 0.641 0.175
0.500 0.500 0.115
0.500 0.000 0.000
0.963 0.359 0.175
0.775 0.566 0.873
0.597 0.597 0.299
0.403 0.403 0.299
0.725 0.066 0.627
0.859 0.537 0.675
0.641 0.037 0.825
0.537 0.859 0.325
0.066 0.725 0.373
0.066 0.725 0.627
0.725 0.066 0.373
0.317 0.683 0.754
0.183 0.183 0.254
0.934 0.275 0.627
0.566 0.775 0.873
0.817 0.817 0.254
0.903 0.097 0.799
0.463 0.141 0.325
0.817 0.817 0.746
0.434 0.225 0.873
0.359 0.963 0.175
0.225 0.434 0.873
0.000 0.000 0.385
0.141 0.463 0.325
0.500 0.500 0.885
0.403 0.403 0.701
0.434 0.225 0.127
0.317 0.683 0.246
0.903 0.097 0.201
0.537 0.859 0.675
0.625 0.625 0.000
0.375 0.375 0.000
0.125 0.875 0.500
0.875 0.125 0.500
0.857 0.857 0.000
0.733 0.267 0.000
0.357 0.643 0.500
0.267 0.733 0.000
0.767 0.767 0.500
0.643 0.357 0.500
0.233 0.233 0.500
0.143 0.143 0.000
```


No. 8
Mg12SnPb6: relaxed, PBE.

## Properties
formation enthalpy at 0 K: 1.0 kJ per mole of atoms
volume: 539 Å³ per cell
relative energy among the computed polymorphs: 0 meV per atom
space group: R-3, No. 148
total moment: 0.000 μB per atom

Cell and atoms, written as POSCAR:
```
Mg12SnPb6
1.0
-0.006 7.671 -3.124
-7.000 -2.915 -3.333
-2.622 1.581 7.696
Pb Mg Sn
6 12 1
Direct
0.732 0.849 0.490
0.490 0.732 0.849
0.510 0.268 0.151
0.849 0.490 0.732
0.151 0.510 0.268
0.268 0.151 0.510
0.149 0.694 0.983
0.184 0.490 0.625
0.510 0.375 0.816
0.625 0.184 0.490
0.983 0.149 0.694
0.017 0.851 0.306
0.490 0.625 0.184
0.306 0.017 0.851
0.375 0.816 0.510
0.851 0.306 0.017
0.694 0.983 0.149
0.816 0.510 0.375
0.000 0.000 0.000
```


No. 9
BaTa2Br: relaxed, PBE.

## Properties
volume: 89 Å³ per cell
relative energy among the computed polymorphs: 1490 meV per atom
space group: Fm-3m, No. 225
formation energy without anion corrections: 1.6215 eV/atom
total moment: 0.000 μB per atom

Cell and atoms, written as POSCAR:
```
BaTa2Br
1.0
2.842 0.297 4.123
-0.903 -3.033 3.892
3.213 -3.690 1.102
Ta Br Ba
2 1 1
Direct
0.750 0.750 0.750
0.250 0.250 0.250
0.000 0.000 0.000
0.500 0.500 0.500
```


No. 10
UCdO4: relaxed, PBE.

## Properties
volume: 89 Å³ per cell
relative energy among the computed polymorphs: 0 meV per atom
space group: Cmmm, No. 65
formation energy without anion corrections: -2.4528 eV/atom
total moment: 0.000 μB per atom

Cell and atoms, written as POSCAR:
```
UCdO4
1.0
-4.599 -1.886 0.723
1.815 -2.452 3.991
-0.804 2.749 2.055
O Cd U
4 1 1
Direct
0.718 0.718 0.000
0.824 0.176 0.500
0.176 0.824 0.500
0.282 0.282 0.000
0.500 0.500 0.500
0.000 0.000 0.000
```


No. 11
Ba3Sr3Ca2: relaxed, PBE.

## Properties
formation enthalpy at 0 K: 2.5 kJ per mole of atoms
volume: 441 Å³ per cell
relative energy among the computed polymorphs: 5 meV per atom
space group: Pmmm, No. 47
total moment: 0.000 μB per atom

Cell and atoms, written as POSCAR:
```
Ba3Sr3Ca2
1.0
6.058 0.000 0.000
0.000 6.083 0.000
0.000 0.000 11.962
Sr Ca Ba
3 2 3
Direct
0.500 0.500 0.754
0.000 0.500 0.000
0.500 0.500 0.246
0.000 0.000 0.246
0.000 0.000 0.754
0.500 0.000 0.500
0.000 0.500 0.500
0.500 0.000 0.000
```


No. 12
TbNdY3Ho: relaxed, PBE.

## Properties
formation enthalpy at 0 K: 2.0 kJ per mole of atoms
volume: 389 Å³ per cell
space group: Cmcm, No. 63
total moment: 0.000 μB per atom

Cell and atoms, written as POSCAR:
```
TbNdY3Ho
1.0
-2.857 4.097 -0.824
-4.122 -5.071 4.628
3.893 4.376 8.262
Ho Y Nd Tb
2 6 2 2
Direct
0.166 0.333 0.250
0.834 0.667 0.750
0.167 0.334 0.750
0.667 0.334 0.000
0.833 0.666 0.250
0.667 0.334 0.500
0.333 0.666 0.500
0.333 0.666 0.000
0.000 0.000 0.000
0.000 0.000 0.500
0.499 0.999 0.750
0.501 0.001 0.250
```


no.,N(E_F) (states/eV/atom)
1,0.43
2,0.86
3,1.30
4,0.56
5,0.28
6,0.69
7,0.66
8,0.35
9,0.75
10,0.00
11,1.27
12,1.43